Entry from Alexandria: crystalline RbCuI2Br at its relaxed geometry (PBE-GGA).

Calculated values
Space group = P4/mmm, No. 123
Crystal system = tetragonal

abc: 5.5811 5.5811 5.3109
angles: 90.00 90.00 90.00
Fractional coordinates of all 5 atoms:
Rb1 0.0000 0.0000 0.0000
Cu1 0.5000 0.5000 0.5000
I1 0.0000 0.5000 0.5000
I2 0.5000 0.0000 0.5000
Br1 0.5000 0.5000 0.0000

=====

Entry from Alexandria: crystalline Cu4SI2Br at its relaxed geometry (PBE-GGA).

Calculated values
Space group = Pmn2_1, No. 31
Crystal system = orthorhombic

abc: 8.1301 7.0301 6.7596
angles: 90.00 90.00 90.00
Fractional coordinates of all 16 atoms:
Cu1 0.0000 0.1261 0.0000
Cu2 0.0000 0.8447 0.4485
Cu3 0.2240 0.6920 0.0106
Cu4 0.2760 0.3080 0.5106
Cu5 0.5000 0.1553 0.9485
Cu6 0.5000 0.8739 0.5000
Cu7 0.7240 0.3080 0.5106
Cu8 0.7760 0.6920 0.0106
S1 0.0000 0.8343 0.1225
S2 0.5000 0.1657 0.6225
I1 0.2495 0.6678 0.6227
I2 0.2505 0.3322 0.1227
I3 0.7495 0.3322 0.1227
I4 0.7505 0.6678 0.6227
Br1 0.0000 0.1615 0.6239
Br2 0.5000 0.8385 0.1239

=====

Entry from Alexandria: crystalline CuSb2IBr at its relaxed geometry (PBE-GGA).

Calculated values
Space group = P4/mmm, No. 123
Crystal system = tetragonal

abc: 5.2020 5.2020 5.3291
angles: 90.00 90.00 90.00
Fractional coordinates of all 5 atoms:
Cu1 0.0000 0.0000 0.0000
Sb1 0.0000 0.5000 0.0000
Sb2 0.5000 0.0000 0.0000
I1 0.0000 0.0000 0.5000
Br1 0.5000 0.5000 0.5000

=====

Entry from Alexandria: crystalline CuSb2IBr at its relaxed geometry (PBE-GGA).

Calculated values
Space group = P4/mmm, No. 123
Crystal system = tetragonal

abc: 5.6335 5.6335 5.7087
angles: 90.00 90.00 90.00
Fractional coordinates of all 5 atoms:
Cu1 0.0000 0.0000 0.0000
Sb1 0.0000 0.5000 0.5000
Sb2 0.5000 0.0000 0.5000
I1 0.5000 0.5000 0.0000
Br1 0.5000 0.5000 0.5000

=====

Entry from Alexandria: crystalline CuSeIBr2 at its relaxed geometry (PBE-GGA).

Calculated values
Space group = P4/mmm, No. 123
Crystal system = tetragonal

abc: 4.8133 4.8133 5.5563
angles: 90.00 90.00 90.00
Fractional coordinates of all 5 atoms:
Cu1 0.0000 0.0000 0.0000
Se1 0.0000 0.0000 0.5000
I1 0.5000 0.5000 0.5000
Br1 0.0000 0.5000 0.0000
Br2 0.5000 0.0000 0.0000

=====

Entry from Alexandria: crystalline Cu4SeI2Br at its relaxed geometry (PBE-GGA).

Calculated values
Space group = I-42m, No. 121
Crystal system = tetragonal

abc: 7.1781 7.1781 7.1781
angles: 131.94 131.94 70.33
Fractional coordinates of all 8 atoms:
Cu1 0.1529 0.1529 0.5292
Cu2 0.3763 0.8471 0.0000
Cu3 0.6237 0.6237 0.4708
Cu4 0.8471 0.3763 0.0000
Se1 0.5000 0.5000 0.0000
I1 0.2500 0.7500 0.5000
I2 0.7500 0.2500 0.5000
Br1 0.0000 0.0000 0.0000

=====

no.,total energy (eV/atom),E_form (uncorrected) (eV/f.u.)
1,-2.643,-3.38
2,-3.347,-1.49
3,-2.770,1.71
4,-1.925,5.94
5,-2.258,1.19
6,-3.241,-1.29